DFT (PBE-GGA) results for a relaxed structure of PmNiAg.

abc: 3.8893 3.7521 8.6360
angles: 102.55 90.00 90.00
Element x y z (fractional)
Ni (0.7500, 0.4586, 0.9172)
Ni (0.2500, 0.5414, 0.0828)
Ag (0.2500, 0.7088, 0.4177)
Ag (0.7500, 0.2912, 0.5823)
Pm (0.2500, 0.8984, 0.7969)
Pm (0.7500, 0.1016, 0.2031)

Results
**Energy above the most stable polymorph in this dataset**: 0.00 eV per formula unit
**Density of states at the Fermi level**: 3.94 states/eV/cell

---

DFT (PBE-GGA) results for a relaxed structure of InSi4Ag.

abc: 5.3237 5.3237 5.3237
angles: 60.00 60.00 60.00
Element x y z (fractional)
In (0.0000, 0.0000, 0.0000)
Ag (0.2500, 0.2500, 0.2500)
Si (0.6249, 0.6249, 0.6249)
Si (0.6249, 0.1254, 0.6249)
Si (0.6249, 0.6249, 0.1254)
Si (0.1254, 0.6249, 0.6249)

Results
**Density of states at the Fermi level**: 2.45 states/eV/cell
**Energy relative to the elements, uncorrected**: 494 meV per atom

---

DFT (PBE-GGA) results for a relaxed structure of ZnF.

abc: 5.1056 5.1056 5.1056
angles: 90.00 90.00 90.00
Element x y z (fractional)
Zn (0.0000, 0.0000, 0.0000)
Zn (0.0000, 0.5000, 0.5000)
Zn (0.5000, 0.5000, 0.0000)
Zn (0.5000, 0.0000, 0.5000)
F (0.7500, 0.7500, 0.2500)
F (0.2500, 0.7500, 0.7500)
F (0.7500, 0.2500, 0.7500)
F (0.2500, 0.2500, 0.2500)

Results
**Density of states at the Fermi level**: 3.52 states/eV/cell
**Energy relative to the elements, uncorrected**: -1174 meV per atom

---

DFT (PBE-GGA) results for a relaxed structure of NdPuPa2As4.

abc: 4.1500 7.1830 7.1907
angles: 70.48 90.00 90.00
Last column: magnetic moment on the atom in μB.
Element x y z (fractional)
As (0.0000, 0.7613, 0.7432)  0.02
As (0.5000, 0.7578, 0.2508)  0.04
As (0.5000, 0.2422, 0.7492)  0.04
As (0.0000, 0.2387, 0.2568)  0.02
Pa (0.0000, 0.0000, 0.0000)  -0.34
Pa (0.5000, 0.0000, 0.5000)  -0.03
Pu (0.0000, 0.5000, 0.5000)  -5.22
Nd (0.5000, 0.5000, 0.0000)  0.00

Results
**VASP energy**: -66.1 eV/cell
**Density of states at the Fermi level**: 13.83 states/eV/cell

---

DFT (PBE-GGA) results for a relaxed structure of Tb5Pm2Pr3.

abc: 9.3427 9.3402 11.2669
angles: 123.49 123.50 70.65
Element x y z (fractional)
Tb (0.3709, 0.1225, 0.7318)
Tb (0.8608, 0.6093, 0.7317)
Tb (0.4708, 0.7208, 0.4416)
Tb (0.0263, 0.7763, 0.5525)
Tb (0.5292, 0.2792, 0.5584)
Tb (0.1392, 0.3907, 0.2683)
Tb (0.6291, 0.8775, 0.2682)
Tb (0.7257, 0.4757, 0.9513)
Tb (0.9737, 0.2237, 0.4475)
Tb (0.2743, 0.5243, 0.0487)
Pr (0.2302, 0.9802, 0.9603)
Pr (0.7698, 0.0198, 0.0397)
Pr (0.9781, 0.2248, 0.7486)
Pr (0.0219, 0.7752, 0.2514)
Pr (0.2706, 0.5239, 0.7486)
Pr (0.7294, 0.4761, 0.2514)
Pm (0.2321, 0.9850, 0.2600)
Pm (0.5279, 0.2750, 0.2600)
Pm (0.4721, 0.7250, 0.7400)
Pm (0.7679, 0.0150, 0.7400)

Results
**Energy above the most stable polymorph in this dataset**: 0.00 eV per formula unit
**Density of states at the Fermi level**: 33.26 states/eV/cell

---

DFT (PBE-GGA) results for a relaxed structure of TbPr2SmHo4.

abc: 5.1114 5.0818 11.2722
angles: 63.19 90.00 90.00
Element x y z (fractional)
Ho (0.5000, 0.7492, 0.2507)
Ho (0.0000, 0.2485, 0.2512)
Ho (0.5000, 0.2508, 0.7493)
Ho (0.0000, 0.7515, 0.7488)
Pr (0.0000, 0.0000, 0.0000)
Pr (0.5000, 0.0000, 0.5000)
Tb (0.0000, 0.5000, 0.5000)
Sm (0.5000, 0.5000, 0.0000)

Results
**VASP energy**: -37.1 eV/cell
**Density of states at the Fermi level**: 11.09 states/eV/cell

---

DFT (PBE-GGA) results for a relaxed structure of TmCrB4.

abc: 3.4072 5.8899 11.3723
angles: 90.00 90.00 90.00
Element x y z (fractional)
B (0.5000, 0.2817, 0.3155)
B (0.5000, 0.9752, 0.3075)
B (0.5000, 0.1137, 0.5472)
B (0.5000, 0.1360, 0.9676)
B (0.5000, 0.8863, 0.4528)
B (0.5000, 0.4752, 0.1925)
B (0.5000, 0.6137, 0.9528)
B (0.5000, 0.6360, 0.5324)
B (0.5000, 0.7817, 0.1845)
B (0.5000, 0.3863, 0.0472)
B (0.5000, 0.8640, 0.0324)
B (0.5000, 0.0248, 0.6925)
B (0.5000, 0.7183, 0.6845)
B (0.5000, 0.3640, 0.4676)
B (0.5000, 0.5248, 0.8075)
B (0.5000, 0.2183, 0.8155)
Tm (0.0000, 0.6249, 0.3495)
Tm (0.0000, 0.1249, 0.1505)
Tm (0.0000, 0.8751, 0.8495)
Tm (0.0000, 0.3751, 0.6505)
Cr (0.0000, 0.1230, 0.4202)
Cr (0.0000, 0.6230, 0.0798)
Cr (0.0000, 0.3770, 0.9202)
Cr (0.0000, 0.8770, 0.5798)

Results
**VASP energy**: -180.0 eV/cell
**Density of states at the Fermi level**: 0.80 states/eV/cell

---

DFT (PBE-GGA) results for a relaxed structure of La2Ge5Ru3.

abc: 8.6126 8.6126 8.6126
angles: 139.59 108.35 85.63
Element x y z (fractional)
Ge (0.2895, 0.0395, 0.7500)
Ge (0.7105, 0.9605, 0.2500)
Ge (0.7604, 0.5913, 0.1690)
Ge (0.4223, 0.0913, 0.3310)
Ge (0.7105, 0.4605, 0.7500)
Ge (0.2895, 0.5395, 0.2500)
Ge (0.2396, 0.4087, 0.8310)
Ge (0.0000, 0.2500, 0.2500)
Ge (0.5777, 0.9087, 0.6690)
Ge (0.0000, 0.7500, 0.7500)
Ru (0.5000, 0.7500, 0.2500)
Ru (0.0518, 0.6457, 0.4061)
Ru (0.9482, 0.3543, 0.5939)
Ru (0.7605, 0.8543, 0.9061)
Ru (0.2395, 0.1457, 0.0939)
Ru (0.5000, 0.2500, 0.7500)
La (0.9057, 0.1364, 0.7693)
La (0.3671, 0.6364, 0.7307)
La (0.0943, 0.8636, 0.2307)
La (0.6329, 0.3636, 0.2693)

Results
**VASP energy**: -134.8 eV/cell
**Density of states at the Fermi level**: 5.94 states/eV/cell

---

DFT (PBE-GGA) results for a relaxed structure of Ac2PI.

abc: 3.8791 3.8791 8.0879
angles: 90.00 90.00 90.00
Element x y z (fractional)
Ac (0.0000, 0.0000, 0.7827)
Ac (0.0000, 0.0000, 0.2173)
I (0.5000, 0.5000, 0.5000)
P (0.5000, 0.5000, 0.0000)

Results
**Energy above the most stable polymorph in this dataset**: 1.13 eV per formula unit
**Density of states at the Fermi level**: 3.14 states/eV/cell
**Energy relative to the elements, uncorrected**: -1043 meV per atom

---

DFT (PBE-GGA) results for a relaxed structure of Cu2HgW.

abc: 6.9482 6.9482 5.6490
angles: 52.05 52.05 90.00
Element x y z (fractional)
W (0.2500, 0.7500, 0.5000)
W (0.5000, 0.5000, 0.0000)
Hg (0.7500, 0.2500, 0.5000)
Hg (0.0000, 0.0000, 0.0000)
Cu (0.6140, 0.1250, 0.2500)
Cu (0.8750, 0.8640, 0.7500)
Cu (0.1360, 0.6250, 0.2500)
Cu (0.3750, 0.3860, 0.7500)

Results
**VASP energy**: -35.0 eV/cell
**Density of states at the Fermi level**: 2.68 states/eV/cell

---

DFT (PBE-GGA) results for a relaxed structure of CaTmCd6.

abc: 4.9815 6.5284 6.5284
angles: 115.39 90.00 90.00
Element x y z (fractional)
Tm (0.0000, 0.1060, 0.8940)
Cd (0.5000, 0.4328, 0.1171)
Cd (0.5000, 0.9252, 0.0748)
Cd (0.0000, 0.0602, 0.3803)
Cd (0.5000, 0.8829, 0.5672)
Cd (0.0000, 0.5803, 0.4197)
Cd (0.0000, 0.6197, 0.9398)
Ca (0.5000, 0.3926, 0.6074)

Results
**VASP energy**: -14.0 eV/cell
**Density of states at the Fermi level**: 3.33 states/eV/cell

---

DFT (PBE-GGA) results for a relaxed structure of Ba2MgCd3Au4.

abc: 4.9954 4.9954 10.8735
angles: 90.00 90.00 90.00
Element x y z (fractional)
Cd (0.5000, 0.0000, 0.8767)
Cd (0.0000, 0.5000, 0.1233)
Cd (0.0000, 0.0000, 0.5000)
Ba (0.0000, 0.5000, 0.7678)
Ba (0.5000, 0.0000, 0.2322)
Au (0.5000, 0.0000, 0.6209)
Au (0.0000, 0.5000, 0.3791)
Au (0.0000, 0.0000, 0.0000)
Au (0.5000, 0.5000, 0.0000)
Mg (0.5000, 0.5000, 0.5000)

Results
**VASP energy**: -26.3 eV/cell
**Density of states at the Fermi level**: 3.92 states/eV/cell

---

DFT (PBE-GGA) results for a relaxed structure of Te2IrBr.

abc: 11.0242 11.0242 11.0242
angles: 18.65 18.65 18.65
Element x y z (fractional)
Br (0.0524, 0.0524, 0.0524)
Te (0.1574, 0.1574, 0.1574)
Te (0.5966, 0.5966, 0.5966)
Ir (0.4446, 0.4446, 0.4446)

Results
**Energy above the most stable polymorph in this dataset**: 2.06 eV per formula unit
**Density of states at the Fermi level**: 3.63 states/eV/cell
**Energy relative to the elements, uncorrected**: 251 meV per atom

---

DFT (PBE-GGA) results for a relaxed structure of In2SiHg.

abc: 4.3077 5.4360 4.0750
angles: 90.00 90.00 90.00
Element x y z (fractional)
Hg (0.0000, 0.5000, 0.5000)
In (0.5000, 0.5000, 0.0000)
In (0.0000, 0.0000, 0.0000)
Si (0.5000, 0.0000, 0.5000)

Results
**Density of states at the Fermi level**: 1.82 states/eV/cell
**Energy relative to the elements, uncorrected**: 293 meV per atom

---

DFT (PBE-GGA) results for a relaxed structure of DyAgPbSe3.

abc: 4.1555 8.4692 9.2917
angles: 103.82 90.00 90.00
Element x y z (fractional)
Se (0.7500, 0.8985, 0.1251)
Se (0.7500, 0.4348, 0.1537)
Se (0.2500, 0.7391, 0.4876)
Se (0.2500, 0.5652, 0.8463)
Se (0.7500, 0.2609, 0.5124)
Se (0.2500, 0.1015, 0.8749)
Ag (0.2500, 0.0901, 0.5866)
Ag (0.7500, 0.9099, 0.4134)
Pb (0.7500, 0.8041, 0.7586)
Pb (0.2500, 0.1959, 0.2414)
Dy (0.7500, 0.3243, 0.8320)
Dy (0.2500, 0.6757, 0.1680)

Results
**Energy relative to the elements, uncorrected**: -974 meV per atom

---

DFT (PBE-GGA) results for a relaxed structure of Zr2TaAu.

abc: 3.5664 3.2572 7.7290
angles: 65.05 90.00 90.00
Element x y z (fractional)
Au (0.5000, 0.2500, 0.2500)
Zr (0.0000, 0.4961, 0.5047)
Zr (0.0000, 0.0039, 0.9953)
Ta (0.5000, 0.7500, 0.7500)

Results
**Energy above the most stable polymorph in this dataset**: 0.00 eV per formula unit
**Density of states at the Fermi level**: 3.37 states/eV/cell

---

DFT (PBE-GGA) results for a relaxed structure of PuMnVGa.

abc: 4.5084 4.5084 4.5084
angles: 60.00 60.00 60.00
Last column: magnetic moment on the atom in μB.
Element x y z (fractional)
Ga (0.5000, 0.5000, 0.5000)  -0.02
Pu (0.0000, 0.0000, 0.0000)  5.17
V (0.7500, 0.7500, 0.7500)  1.92
Mn (0.2500, 0.2500, 0.2500)  -2.34

Results
**VASP energy**: -35.8 eV/cell
**Density of states at the Fermi level**: 4.10 states/eV/cell

---

DFT (PBE-GGA) results for a relaxed structure of ScTa4Se.

abc: 5.5777 5.5777 5.5777
angles: 60.00 60.00 60.00
Element x y z (fractional)
Ta (0.3775, 0.3775, 0.3775)
Ta (0.3775, 0.3775, 0.8674)
Ta (0.3775, 0.8674, 0.3775)
Ta (0.8674, 0.3775, 0.3775)
Se (0.0000, 0.0000, 0.0000)
Sc (0.7500, 0.7500, 0.7500)

Results
**Density of states at the Fermi level**: 5.52 states/eV/cell
**Energy relative to the elements, uncorrected**: 396 meV per atom

---

DFT (PBE-GGA) results for a relaxed structure of TmGa2Ag8.

abc: 4.0822 6.8587 7.8372
angles: 106.38 105.10 90.00
Element x y z (fractional)
Ag (0.3169, 0.0893, 0.6337)
Ag (0.0464, 0.7224, 0.0928)
Ag (0.9536, 0.2776, 0.9072)
Ag (0.1439, 0.2032, 0.2878)
Ag (0.8561, 0.7968, 0.7122)
Ag (0.4036, 0.5348, 0.8072)
Ag (0.5964, 0.4652, 0.1928)
Ag (0.6831, 0.9107, 0.3663)
Ga (0.2265, 0.6448, 0.4531)
Ga (0.7735, 0.3552, 0.5469)
Tm (0.5000, 0.0000, 0.0000)

Results
**VASP energy**: -34.1 eV/cell
**Density of states at the Fermi level**: 3.32 states/eV/cell

---

DFT (PBE-GGA) results for a relaxed structure of ScNb2TcHg.

abc: 4.8102 4.5346 4.8102
angles: 90.00 90.00 90.00
Element x y z (fractional)
Nb (0.0000, 0.0000, 0.5000)
Nb (0.5000, 0.0000, 0.0000)
Sc (0.0000, 0.0000, 0.0000)
Tc (0.0000, 0.5000, 0.0000)
Hg (0.5000, 0.5000, 0.5000)

Results
**VASP energy**: -29.5 eV/cell
**Density of states at the Fermi level**: 6.45 states/eV/cell